[1]
Crystalline ThSbRu at its relaxed geometry, computed with PBE-GGA.

E_form (uncorrected): -493 meV per atom
space-group type: No. 46
calculated volume: 72.31 Å³/f.u.
spin magnetization: 0.0 μB/f.u.
VASP energy: -7.432 eV/atom

abc: 6.8769 9.1407 8.6728
angles: 61.68 90.00 112.10
With the nearest neighbours (Å) after each atom.
Positions (direct):
Sb 0.6364 0.0641 0.2180  3 Ru 2.79-2.95
Sb 0.9354 0.6553 0.9223  5 Ru 2.71-3.01
Sb 0.7537 0.6552 0.4224  3 Ru 2.91-3.04, 2 Th 3.26
Sb 0.5723 0.9359 0.7820  3 Ru 2.79-2.95
Sb 0.2800 0.3447 0.0777  5 Ru 2.71-3.01
Sb 0.0985 0.3448 0.5776  3 Ru 2.91-3.04, 2 Th 3.26
Ru 0.5920 0.6260 0.1072  2 Th 2.68-2.88, 3 Sb 2.71-2.95, 1 Ru 2.95
Ru 0.9660 0.3740 0.8928  2 Th 2.68-2.88, 3 Sb 2.71-2.95, 1 Ru 2.95
Ru 0.9660 0.3740 0.2332  2 Th 2.68-2.88, 3 Sb 2.71-2.95, 1 Ru 2.95
Ru 0.1906 0.9445 0.2778  3 Sb 2.79-3.01, 4 Th 2.89-2.91
Ru 0.2461 0.0555 0.7222  3 Sb 2.79-3.01, 4 Th 2.89-2.91
Ru 0.5920 0.6260 0.7668  2 Th 2.68-2.88, 3 Sb 2.71-2.95, 1 Ru 2.95
Th 0.9417 0.0000 0.5000  4 Ru 2.91-3.02, 2 Sb 3.21
Th 0.5747 0.2853 0.3957  3 Ru 2.68-2.89
Th 0.5747 0.2853 0.8190  3 Ru 2.68-2.89
Th 0.2894 0.7147 0.1810  3 Ru 2.68-2.89
Th 0.2894 0.7147 0.6043  3 Ru 2.68-2.89
Th 0.9417 0.0000 0.0000  4 Ru 2.91-3.02, 2 Sb 3.21

***

[2]
Crystalline KSbTe2Pb at its relaxed geometry, computed with PBE-GGA.

E_form (uncorrected): 110 meV per atom
offset from the most stable computed form: 0 kJ/mol of formula units
space-group type: No. 123
calculated volume: 215.46 Å³/f.u.
spin magnetization: 1.2 μB/f.u.
VASP energy: -2.933 eV/atom

abc: 6.0528 6.0528 5.8811
angles: 90.00 90.00 90.00
With the nearest neighbours (Å) after each atom.
Positions (direct):
Te 0.5000 0.0000 0.0000  2 Pb 3.03
Te 0.0000 0.5000 0.0000  2 Pb 3.03
Sb 0.0000 0.0000 0.5000  2 Pb 2.94
Pb 0.0000 0.0000 0.0000  2 Sb 2.94, 4 Te 3.03
K 0.5000 0.5000 0.5000  8 Te 4.22, 4 Sb 4.28

***

[3]
Crystalline TbGdTlZn at its relaxed geometry, computed with PBE-GGA.

energy relative to the elements: -134 kJ/mol of formula units
space-group type: No. 216
calculated volume: 102.65 Å³/f.u.
spin magnetization: 7.9 μB/f.u.
VASP energy: -5.936 eV/atom

abc: 5.2557 5.2557 5.2557
angles: 60.00 60.00 60.00
With the nearest neighbours (Å) after each atom.
Positions (direct):
Gd 0.7500 0.7500 0.7500  4 Tl 3.22, 4 Zn 3.22
Tl 0.5000 0.5000 0.5000  4 Gd 3.22, 4 Tb 3.22
Zn 0.0000 0.0000 0.0000  4 Gd 3.22, 4 Tb 3.22
Tb 0.2500 0.2500 0.2500  4 Tl 3.22, 4 Zn 3.22

***

[4]
Crystalline FeHS3 at its relaxed geometry, computed with PBE-GGA.

offset from the most stable computed form: 64 kJ/mol of formula units
space-group type: No. 221
calculated volume: 66.58 Å³/f.u.
spin magnetization: 3.7 μB/f.u.
VASP energy: -3.778 eV/atom

abc: 4.0530 4.0530 4.0530
angles: 90.00 90.00 90.00
With the nearest neighbours (Å) after each atom.
Positions (direct):
Fe 0.5000 0.5000 0.5000  12 S 2.87
H 0.0000 0.0000 0.0000  6 S 2.03
S 0.5000 0.0000 0.0000  2 H 2.03
S 0.0000 0.5000 0.0000  2 H 2.03
S 0.0000 0.0000 0.5000  2 H 2.03